# 1
Here is Pm6InCo after structural relaxation from Alexandria. Energies are from PBE.

Output
- ΔH_f (0 K) (eV per atom) = -0.03
- electronic total energy (eV per atom) = -4.828
- symmetry = No. 12
- N(E_F) (states/eV/f.u.) = 9.74

```
Pm6InCo
1.0
6.364 0.339 0.000
1.721 7.898 0.000
0.861 3.949 5.058
Pm Co In
6 1 1
Direct
0.214 0.801 0.620
0.388 0.214 0.000
0.612 0.786 0.000
0.786 0.578 0.620
0.786 0.199 0.380
0.214 0.422 0.380
0.500 0.500 0.000
0.000 0.000 0.000
```

---

# 2
Here is Pm6InCo2 after structural relaxation from Alexandria. Energies are from PBE.

Output
- ΔH_f (0 K) (eV per atom) = -0.10
- electronic total energy (eV per atom) = -5.153
- distance to the lowest polymorph of the same formula (eV per atom) = 0.091
- symmetry = No. 12
- N(E_F) (states/eV/f.u.) = 8.06

```
Pm6InCo2
1.0
-2.661 3.541 2.338
4.182 -2.518 3.209
7.042 5.931 -0.969
Pm Co In
6 2 1
Direct
0.668 0.336 0.624
0.027 0.054 0.151
0.705 0.411 0.161
0.295 0.589 0.839
0.332 0.664 0.376
0.973 0.946 0.849
0.387 0.774 0.086
0.613 0.226 0.914
0.000 0.000 0.500
```

---

# 3
Here is Pm12InCo5 after structural relaxation from Alexandria. Energies are from PBE.

Output
- ΔH_f (0 K) (eV per atom) = -0.15
- electronic total energy (eV per atom) = -5.447
- symmetry = No. 71
- N(E_F) (states/eV/f.u.) = 14.89

```
Pm12InCo5
1.0
-5.863 -6.170 0.547
6.980 -2.227 4.368
-2.980 7.264 3.332
Pm Co In
12 5 1
Direct
0.113 0.814 0.299
0.809 0.010 0.201
0.191 0.392 0.201
0.485 0.186 0.299
0.694 0.315 0.010
0.306 0.315 0.621
0.809 0.608 0.799
0.191 0.990 0.799
0.306 0.685 0.990
0.887 0.186 0.701
0.515 0.814 0.701
0.694 0.685 0.379
0.000 0.000 0.000
0.500 0.112 0.612
0.500 0.888 0.388
0.619 0.619 0.000
0.381 0.381 0.000
0.000 0.500 0.500
```

---

# 4
Here is PmInCoRh after structural relaxation from Alexandria. Energies are from PBE.

Output
- ΔH_f (0 K) (eV per atom) = -0.30
- electronic total energy (eV per atom) = -5.791
- symmetry = No. 216
- N(E_F) (states/eV/f.u.) = 1.57

```
PmInCoRh
1.0
-3.011 3.608 -0.245
-4.405 -0.501 1.577
-1.357 2.204 3.930
Co Pm Rh In
1 1 1 1
Direct
0.500 0.500 0.500
0.750 0.750 0.750
0.000 0.000 0.000
0.250 0.250 0.250
```